one | # BiBBr2

A relaxed structure of BiBBr2 (PBE, Alexandria via LeMat-Bulk).

Results
crystal system	tetragonal

Unit cell a=6.9695 b=6.9695 c=9.8493 alpha=90.00 beta=90.00 gamma=90.00
Closest atoms and distances in Å follow each position.
Space group I-42d (No. 122)
Asymmetric unit:
Bi 0.0000 0.0000 0.0000 (multiplicity 4)  12 Br 4.08-4.09, 4 Bi 4.27, 4 B 4.27
B 0.0000 0.0000 0.5000 (multiplicity 4)  4 Br 2.13
Br 0.0010 0.2500 0.6250 (multiplicity 8)  2 B 2.13

---

two | # BiBBr2

A relaxed structure of BiBBr2 (PBE, Alexandria via LeMat-Bulk).

Results
crystal system	trigonal

Unit cell a=3.6030 b=3.6030 c=25.1706 alpha=90.00 beta=90.00 gamma=120.00
Closest atoms and distances in Å follow each position.
Space group R-3m (No. 166, hexagonal axes)
Asymmetric unit:
Bi 0.0000 0.0000 0.0000 (multiplicity 3)  6 Br 3.38, 6 Bi 3.60
B 0.0000 0.0000 0.5000 (multiplicity 3)  6 Br 2.58
Br 0.0000 0.0000 0.2276 (multiplicity 6)  3 B 2.58

---

two takes first place; second place is 5.9 kJ/mol of atoms up.

---

one | # BiB3Br

A relaxed structure of BiB3Br (PBE, Alexandria via LeMat-Bulk).

Results
crystal system	cubic

Unit cell a=4.3361 b=4.3361 c=4.3361 alpha=90.00 beta=90.00 gamma=90.00
Closest atoms and distances in Å follow each position.
Space group Pm-3m (No. 221)
Asymmetric unit:
Bi 0.0000 0.0000 0.0000 (multiplicity 1)  12 B 3.07
B 0.0000 0.5000 0.5000 (multiplicity 3)  2 Br 2.17
Br 0.5000 0.5000 0.5000 (multiplicity 1)  6 B 2.17

---

two | # BiB3Br

A relaxed structure of BiB3Br (PBE, Alexandria via LeMat-Bulk).

Results
crystal system	cubic

Unit cell a=4.9186 b=4.9186 c=4.9186 alpha=90.00 beta=90.00 gamma=90.00
Closest atoms and distances in Å follow each position.
Space group Pm-3m (No. 221)
Asymmetric unit:
Bi 0.0000 0.0000 0.0000 (multiplicity 1)  6 B 2.46
B 0.0000 0.0000 0.5000 (multiplicity 3)  2 Bi 2.46
Br 0.5000 0.5000 0.5000 (multiplicity 1)  12 B 3.48

---

one takes first place; second place is 3.6 kJ/mol of atoms up.

---

one | # Bi2BC

A relaxed structure of Bi2BC (PBE, Alexandria via LeMat-Bulk).

Results
crystal system	tetragonal

Unit cell a=5.5342 b=5.5342 c=11.2777 alpha=90.00 beta=90.00 gamma=90.00
Closest atoms and distances in Å follow each position.
Space group I-42d (No. 122)
Asymmetric unit:
Bi 0.2477 0.2500 0.1250 (multiplicity 8)  2 C 2.40, 2 B 2.42
B 0.0000 0.0000 0.5000 (multiplicity 4)  4 Bi 2.42
C 0.0000 0.0000 0.0000 (multiplicity 4)  4 Bi 2.40

---

two | # Bi2BC

A relaxed structure of Bi2BC (PBE, Alexandria via LeMat-Bulk).

Results
crystal system	cubic

Unit cell a=6.6112 b=6.6112 c=6.6112 alpha=90.00 beta=90.00 gamma=90.00
Closest atoms and distances in Å follow each position.
Space group Fm-3m (No. 225)
Asymmetric unit:
Bi 0.2500 0.2500 0.2500 (multiplicity 8)  4 B 2.86, 4 C 2.86
B 0.0000 0.0000 0.0000 (multiplicity 4)  8 Bi 2.86
C 0.0000 0.0000 0.5000 (multiplicity 4)  8 Bi 2.86

---

one takes first place; second place is 58.7 kJ/mol of atoms up.

---

one | # Ca2BiB

A relaxed structure of Ca2BiB (PBE, Alexandria via LeMat-Bulk).

Results
crystal system	tetragonal

Unit cell a=8.0839 b=8.0839 c=6.5600 alpha=90.00 beta=90.00 gamma=90.00
Closest atoms and distances in Å follow each position.
Space group I-42d (No. 122)
Asymmetric unit:
Ca 0.1849 0.2500 0.1250 (multiplicity 8)  2 B 2.64
Bi 0.0000 0.0000 0.5000 (multiplicity 4)  2 B 3.28, 8 Ca 3.35-3.52
B 0.0000 0.0000 0.0000 (multiplicity 4)  4 Ca 2.64

---

two | # Ca2BiB

A relaxed structure of Ca2BiB (PBE, Alexandria via LeMat-Bulk).

Results
crystal system	cubic

Unit cell a=7.3957 b=7.3957 c=7.3957 alpha=90.00 beta=90.00 gamma=90.00
Closest atoms and distances in Å follow each position.
Space group Fm-3m (No. 225)
Asymmetric unit:
Ca 0.2500 0.2500 0.2500 (multiplicity 8)  4 Bi 3.20, 4 B 3.20
Bi 0.0000 0.0000 0.0000 (multiplicity 4)  8 Ca 3.20
B 0.0000 0.0000 0.5000 (multiplicity 4)  8 Ca 3.20

---

two takes first place; second place is 7.6 kJ/mol of atoms up.

---

one | # CdBiB3

A relaxed structure of CdBiB3 (PBE, Alexandria via LeMat-Bulk).

Results
crystal system	cubic

Unit cell a=4.4810 b=4.4810 c=4.4810 alpha=90.00 beta=90.00 gamma=90.00
Closest atoms and distances in Å follow each position.
Space group Pm-3m (No. 221)
Asymmetric unit:
Cd 0.0000 0.0000 0.0000 (multiplicity 1)  6 B 2.24
Bi 0.5000 0.5000 0.5000 (multiplicity 1)  12 B 3.17
B 0.0000 0.0000 0.5000 (multiplicity 3)  2 Cd 2.24

---

two | # CdBiB3

A relaxed structure of CdBiB3 (PBE, Alexandria via LeMat-Bulk).

Results
crystal system	cubic

Unit cell a=4.7834 b=4.7834 c=4.7834 alpha=90.00 beta=90.00 gamma=90.00
Closest atoms and distances in Å follow each position.
Space group Pm-3m (No. 221)
Asymmetric unit:
Cd 0.0000 0.0000 0.0000 (multiplicity 1)  12 B 3.38
Bi 0.5000 0.5000 0.5000 (multiplicity 1)  6 B 2.39
B 0.0000 0.5000 0.5000 (multiplicity 3)  2 Bi 2.39

---

one takes first place; second place is 24.1 kJ/mol of atoms up.

---

one | # CdBi2B

A relaxed structure of CdBi2B (PBE, Alexandria via LeMat-Bulk).

Results
crystal system	cubic

Unit cell a=7.2718 b=7.2718 c=7.2718 alpha=90.00 beta=90.00 gamma=90.00
Closest atoms and distances in Å follow each position.
Space group Fm-3m (No. 225)
Asymmetric unit:
Cd 0.0000 0.0000 0.0000 (multiplicity 4)  8 Bi 3.15
Bi 0.2500 0.2500 0.2500 (multiplicity 8)  4 Cd 3.15, 4 B 3.15
B 0.0000 0.0000 0.5000 (multiplicity 4)  8 Bi 3.15

---

two | # CdBi2B

A relaxed structure of CdBi2B (PBE, Alexandria via LeMat-Bulk).

Results
crystal system	tetragonal

Unit cell a=6.3426 b=6.3426 c=11.3754 alpha=90.00 beta=90.00 gamma=90.00
Closest atoms and distances in Å follow each position.
Space group I-42d (No. 122)
Asymmetric unit:
Cd 0.0000 0.0000 0.0000 (multiplicity 4)  4 Bi 2.93
Bi 0.1819 0.2500 0.6250 (multiplicity 8)  2 B 2.42
B 0.0000 0.0000 0.5000 (multiplicity 4)  4 Bi 2.42

---

two takes first place; second place is 40.4 kJ/mol of atoms up.

---

one | # CdBiB2

A relaxed structure of CdBiB2 (PBE, Alexandria via LeMat-Bulk).

Results
crystal system	tetragonal

Unit cell a=5.5633 b=5.5633 c=10.5255 alpha=90.00 beta=90.00 gamma=90.00
Closest atoms and distances in Å follow each position.
Space group I-42d (No. 122)
Asymmetric unit:
Cd 0.0000 0.0000 0.0000 (multiplicity 4)  4 B 2.35
Bi 0.0000 0.0000 0.5000 (multiplicity 4)  4 B 2.38
B 0.2448 0.2500 0.1250 (multiplicity 8)  2 Cd 2.35, 2 Bi 2.38

---

two | # CdBiB2

A relaxed structure of CdBiB2 (PBE, Alexandria via LeMat-Bulk).

Results
crystal system	cubic

Unit cell a=6.5067 b=6.5067 c=6.5067 alpha=90.00 beta=90.00 gamma=90.00
Closest atoms and distances in Å follow each position.
Space group Fm-3m (No. 225)
Asymmetric unit:
Cd 0.0000 0.0000 0.0000 (multiplicity 4)  8 B 2.82
Bi 0.0000 0.0000 0.5000 (multiplicity 4)  8 B 2.82
B 0.2500 0.2500 0.2500 (multiplicity 8)  4 Cd 2.82, 4 Bi 2.82

---

one takes first place; second place is 31.8 kJ/mol of atoms up.

---

one | # BiBPCl2

A relaxed structure of BiBPCl2 (PBE, Alexandria via LeMat-Bulk).

Results
crystal system	tetragonal

Unit cell a=5.3827 b=5.3827 c=5.5185 alpha=90.00 beta=90.00 gamma=90.00
Closest atoms and distances in Å follow each position.
Space group P4/mmm (No. 123)
Asymmetric unit:
Bi 0.0000 0.0000 0.0000 (multiplicity 1)  4 Cl 2.69, 2 P 2.76
B 0.5000 0.5000 0.5000 (multiplicity 1)  4 P 3.81, 8 Cl 3.85
P 0.0000 0.0000 0.5000 (multiplicity 1)  2 Bi 2.76
Cl 0.0000 0.5000 0.0000 (multiplicity 2)  2 Bi 2.69

---

two | # BiBPCl2

A relaxed structure of BiBPCl2 (PBE, Alexandria via LeMat-Bulk).

Results
crystal system	tetragonal

Unit cell a=4.3765 b=4.3765 c=4.7229 alpha=90.00 beta=90.00 gamma=90.00
Closest atoms and distances in Å follow each position.
Space group P4/mmm (No. 123)
Asymmetric unit:
Bi 0.0000 0.0000 0.0000 (multiplicity 1)  4 P 3.09, 8 Cl 3.22
B 0.5000 0.5000 0.5000 (multiplicity 1)  4 Cl 2.19, 2 P 2.36
P 0.5000 0.5000 0.0000 (multiplicity 1)  2 B 2.36
Cl 0.0000 0.5000 0.5000 (multiplicity 2)  2 B 2.19

---

two takes first place; second place is 58.6 kJ/mol of atoms up.